No. 1
Ba3Na2Sr3: relaxed, GGA-PBE.

The symmetry is P-1, No. 2.

Cell lengths 6.167, 6.142, 12.280 Å; angles 75.49, 75.44, 89.99 degrees
Fractional positions:
Na1 0.250 0.249 0.502
Na2 0.750 0.751 0.498
Ba1 0.862 0.362 0.276
Sr1 0.640 0.140 0.720
Ba2 0.000 0.000 0.000
Sr2 0.360 0.860 0.280
Sr3 0.500 0.500 0.000
Ba3 0.138 0.638 0.724


No. 2
Ba5Na2Sr: relaxed, GGA-PBE.

The energy relative to the lowest polymorph listed for this composition is 0.000 eV/atom. The symmetry is I4/mcm, No. 140.

Cell lengths 10.196, 10.196, 11.462 Å; angles 116.41, 116.41, 90.00 degrees
Fractional positions:
Ba1 0.511 0.692 0.703
Na1 0.631 0.131 0.000
Ba2 0.192 0.011 0.703
Ba3 0.500 0.500 0.000
Ba4 0.989 0.489 0.297
Na2 0.369 0.869 0.000
Ba5 0.308 0.808 0.297
Sr1 0.250 0.250 0.500
Na3 0.131 0.369 0.000
Ba6 0.692 0.192 0.703
Ba7 0.808 0.989 0.297
Ba8 0.011 0.511 0.703
Na4 0.869 0.631 0.000
Ba9 0.000 0.000 0.000
Sr2 0.750 0.750 0.500
Ba10 0.489 0.308 0.297


Respective uncorrected energy values: -1.67, -1.70 eV per atom.
Respective formation energy from the elements values: 0.013, 0.045 eV per atom.